CaPbW2: relaxed, PBE.

Results
Its formation energy is 1039.2 meV per atom. The magnetic moment is 0.0 μB per cell. As for the density of states at the Fermi level: 3.0 states/eV per cell.

a = 2.8681 Å, b = 5.1238 Å, c = 5.9869 Å
α = 90.00°, β = 90.00°, γ = 90.00°
Space group Pmmm (No. 47)
Asymmetric unit:
Ca 0.0000 0.0000 0.0000 x1
Pb 0.0000 0.0000 0.5000 x1
W 0.5000 0.5000 0.2082 x2